Run w
VASP calculation (PBE) on a relaxed ZrInI3 crystal.

space group	Pm-3m
density	4.59	g/cm3

a = 5.9667 Å, b = 5.9667 Å, c = 5.9667 Å
α = 90.00°, β = 90.00°, γ = 90.00°
Element x y z (fractional)
Zr1 0.0000 0.0000 0.0000
In1 0.5000 0.5000 0.5000
I1 0.0000 0.5000 0.5000
I2 0.5000 0.0000 0.5000
I3 0.5000 0.5000 0.0000

Run x
VASP calculation (PBE) on a relaxed ZrInI3 crystal.

space group	Pm-3m
density	5.01	g/cm3

a = 5.7944 Å, b = 5.7944 Å, c = 5.7944 Å
α = 90.00°, β = 90.00°, γ = 90.00°
Element x y z (fractional)
Zr1 0.0000 0.0000 0.0000
In1 0.5000 0.5000 0.5000
I1 0.0000 0.0000 0.5000
I2 0.0000 0.5000 0.0000
I3 0.5000 0.0000 0.0000

Preferred: run x; penalty for the next structure: 78.3 kJ/mol of atoms.

Run w
VASP calculation (PBE) on a relaxed ZrInI crystal.

space group	Cm
density	6.29	g/cm3

a = 6.2446 Å, b = 3.5657 Å, c = 15.7962 Å
α = 90.00°, β = 91.87°, γ = 90.00°
Element x y z (fractional)
Zr1 0.0000 0.0000 0.0000
Zr2 0.1345 0.5000 0.4753
Zr3 0.5000 0.5000 0.0000
Zr4 0.6345 0.0000 0.4753
In1 0.2976 0.0000 0.3280
In2 0.3384 0.0000 0.1467
In3 0.7976 0.5000 0.3280
In4 0.8384 0.5000 0.1467
I1 0.1568 0.5000 0.8706
I2 0.3125 0.0000 0.6051
I3 0.6568 0.0000 0.8706
I4 0.8125 0.5000 0.6051

Run x
VASP calculation (PBE) on a relaxed ZrInI crystal.

space group	Cmcm
density	5.76	g/cm3

a = 3.5650 Å, b = 23.8065 Å, c = 4.5237 Å
α = 90.00°, β = 90.00°, γ = 90.00°
Element x y z (fractional)
Zr1 0.0000 0.0805 0.2500
Zr2 0.0000 0.9195 0.7500
Zr3 0.5000 0.4195 0.7500
Zr4 0.5000 0.5805 0.2500
In1 0.0000 0.4607 0.2500
In2 0.0000 0.5393 0.7500
In3 0.5000 0.0393 0.7500
In4 0.5000 0.9607 0.2500
I1 0.0000 0.3234 0.7500
I2 0.0000 0.6766 0.2500
I3 0.5000 0.1766 0.2500
I4 0.5000 0.8234 0.7500

Preferred: run x; penalty for the next structure: 1.7 kJ/mol of atoms.

Run w
VASP calculation (PBE) on a relaxed KIrIN2 crystal.

space group	P4/mmm
density	6.49	g/cm3

a = 4.0378 Å, b = 4.0378 Å, c = 6.0633 Å
α = 90.00°, β = 90.00°, γ = 90.00°
Element x y z (fractional)
K1 0.0000 0.0000 0.0000
Ir1 0.5000 0.5000 0.5000
I1 0.5000 0.5000 0.0000
N1 0.0000 0.5000 0.5000
N2 0.5000 0.0000 0.5000

Run x
VASP calculation (PBE) on a relaxed KIrIN2 crystal.

space group	P4/mmm
density	4.11	g/cm3

a = 4.7853 Å, b = 4.7853 Å, c = 6.8103 Å
α = 90.00°, β = 90.00°, γ = 90.00°
Element x y z (fractional)
K1 0.0000 0.0000 0.0000
Ir1 0.5000 0.5000 0.5000
I1 0.0000 0.0000 0.5000
N1 0.0000 0.5000 0.0000
N2 0.5000 0.0000 0.0000

Preferred: run w; penalty for the next structure: 193.8 kJ/mol of atoms.